# 1
Entry from Alexandria via LeMat-Bulk: a PBEsol-optimized structure of KNiMo2 (meta-GGA SCAN).

Properties
- calculated volume (Å³/cell) = 76.0
- energy of formation (meV/atom) = 713

```
KNiMo2
1.0
2.734 0.000 0.007
0.000 3.160 0.000
-0.779 0.000 8.792
K Mo Ni
1 2 1
Cartesian
0.951 1.580 6.314
0.069 0.000 0.680
0.946 1.580 2.379
2.333 0.000 3.828
```

# 2
Entry from Alexandria via LeMat-Bulk: a PBEsol-optimized structure of CrGe2Pt (meta-GGA SCAN).

Properties
- calculated volume (Å³/cell) = 55.5
- energy of formation (meV/atom) = 10

```
CrGe2Pt
1.0
4.283 0.000 0.000
2.141 3.709 0.000
2.141 1.236 3.497
Ge Pt Cr
2 1 1
Cartesian
6.424 3.709 2.623
2.141 1.236 0.874
4.283 2.473 1.748
0.000 0.000 0.000
```

# 3
Entry from Alexandria via LeMat-Bulk: a PBEsol-optimized structure of LiTcP2 (meta-GGA SCAN).

Properties
- calculated volume (Å³/cell) = 49.9
- energy of formation (meV/atom) = -61

```
LiTcP2
1.0
3.015 0.000 0.000
0.000 4.067 0.000
0.000 0.000 4.067
P Li Tc
2 1 1
Cartesian
0.000 2.034 0.000
0.000 0.000 2.034
1.507 0.000 0.000
1.507 2.034 2.034
```

# 4
Entry from Alexandria via LeMat-Bulk: a PBEsol-optimized structure of Nb6AlGe (meta-GGA SCAN).

Properties
- calculated volume (Å³/cell) = 136.0
- energy of formation (meV/atom) = -295

```
Nb6AlGe
1.0
5.142 0.000 0.000
0.000 5.142 0.000
0.000 0.000 5.142
Ge Nb Al
1 6 1
Cartesian
0.000 0.000 0.000
1.283 0.000 2.571
2.571 1.283 0.000
3.859 0.000 2.571
0.000 2.571 3.859
0.000 2.571 1.283
2.571 3.859 0.000
2.571 2.571 2.571
```

# 5
Entry from Alexandria via LeMat-Bulk: a PBEsol-optimized structure of ZrSiW2 (meta-GGA SCAN).

Properties
- formation energy (no corrections) (eV per atom) = 0.01
- calculated volume (Å³/cell) = 65.6

```
ZrSiW2
1.0
-2.095 0.166 -2.426
-3.094 -2.255 2.517
0.339 4.396 2.131
W Si Zr
2 1 1
Cartesian
-3.843 0.658 1.240
-1.007 1.649 0.983
-1.047 0.083 -1.213
-1.547 -1.128 1.259
```

# 6
Entry from Alexandria via LeMat-Bulk: a PBEsol-optimized structure of KSn3Pt (meta-GGA SCAN).

Properties
- calculated volume (Å³/cell) = 148.5
- energy of formation (meV/atom) = 15

```
KSn3Pt
1.0
5.295 0.000 0.000
0.000 5.295 0.000
0.000 0.000 5.295
Sn Pt K
3 1 1
Cartesian
2.648 0.000 0.000
0.000 0.000 2.648
0.000 2.648 0.000
0.000 0.000 0.000
2.648 2.648 2.648
```

# 7
Entry from Alexandria via LeMat-Bulk: a PBEsol-optimized structure of CsTi2P3O10F4 (meta-GGA SCAN).

Properties
- formation energy (no corrections) (eV per atom) = -2.93
- calculated volume (Å³/cell) = 631.4

```
CsTi2P3O10F4
1.0
-2.423 1.334 8.068
1.785 -8.014 1.862
8.428 2.203 1.400
O Cs Ti P F
20 2 4 6 8
Cartesian
4.329 -2.556 9.361
6.121 -1.875 2.674
-0.262 -5.281 9.423
2.745 1.238 8.864
4.549 -5.193 8.739
1.669 -2.602 8.655
2.956 -5.995 3.897
8.053 0.804 1.907
5.903 0.791 3.277
3.241 0.716 2.591
2.134 -3.995 2.211
3.461 -1.921 1.968
8.995 -5.095 4.896
5.656 -0.482 9.118
1.887 -5.268 8.052
8.189 -3.127 3.204
5.046 -5.715 2.465
-0.399 -1.350 8.125
4.835 1.518 7.432
-1.205 0.618 6.433
1.629 -2.075 5.149
6.161 -2.402 6.181
6.456 1.158 8.491
3.117 -3.875 8.704
4.673 -0.602 2.625
1.335 -5.635 2.838
0.519 -5.880 8.277
7.283 -2.665 2.053
7.271 1.403 3.053
4.469 -6.035 3.824
3.322 1.558 7.505
2.931 -3.147 1.209
3.526 -3.451 6.965
-0.327 -1.159 2.942
7.162 0.246 7.062
8.118 -3.318 8.387
2.833 0.388 6.570
4.264 -1.026 4.364
4.958 -4.865 4.759
0.629 -4.723 4.267
```

# 8
Entry from Alexandria via LeMat-Bulk: a PBEsol-optimized structure of InTeAs2 (meta-GGA SCAN).

Properties
- formation energy (no corrections) (eV per atom) = 0.20
- calculated volume (Å³/cell) = 240.8

```
InTeAs2
1.0
-5.106 2.517 -0.643
-2.503 -4.388 2.702
4.695 4.379 5.387
Te As In
2 4 2
Cartesian
0.000 0.000 0.000
-0.807 -0.472 4.560
-2.960 -1.787 3.467
-1.221 2.140 5.312
2.556 3.026 4.313
-4.204 1.638 1.801
-2.108 2.981 2.887
-3.805 -0.935 1.030
```

Please write out number 4 again, unchanged.
Entry from Alexandria via LeMat-Bulk: a PBEsol-optimized structure of Nb6AlGe (meta-GGA SCAN).

Properties
- calculated volume (Å³/cell) = 136.0
- energy of formation (meV/atom) = -295

```
Nb6AlGe
1.0
5.142 0.000 0.000
0.000 5.142 0.000
0.000 0.000 5.142
Ge Nb Al
1 6 1
Cartesian
0.000 0.000 0.000
1.283 0.000 2.571
2.571 1.283 0.000
3.859 0.000 2.571
0.000 2.571 3.859
0.000 2.571 1.283
2.571 3.859 0.000
2.571 2.571 2.571
```